The following is a DFT calculation (PBE-GGA) of an optimized crystal structure of SrTlGe.

It has space group Cmcm (No. 63), with a = 4.746 Å, b = 17.955 Å, c = 4.195 Å, α = 90.00°, β = 90.00° and γ = 90.00°. The distinct sites, in fractional coordinates, are Sr at (0.000, 0.094, 0.250), Tl at (0.000, 0.288, 0.250) and Ge at (0.000, 0.457, 0.250).

The density of states at the Fermi level comes out at 5.99 states/eV per cell. Its formation energy is -0.422 eV/atom. As for the volume: 357 Å³/cell. Its energy above the most stable polymorph in this dataset is 0.00 eV/f.u.